Entry from Alexandria via LeMat-Bulk: crystalline NaCo2PbN at its relaxed geometry (PBE).

Cell lengths 3.888, 4.665, 3.888 Å; angles 90.00, 90.00, 90.00 degrees
Element x y z (fractional)
N (0.000, 0.000, 0.000)
Na (0.000, 0.500, 0.000)
Co (0.000, 0.000, 0.500)
Co (0.500, 0.000, 0.000)
Pb (0.500, 0.500, 0.500)

Values from the calculation:
**Space-group type**: P4/mmm, No. 123
**Calculated density**: 8.53 g/cm³
**Formation energy (no corrections)**: 297 meV/atom
**Magnetic moment**: 1.771 μB/cell

Entry from Alexandria via LeMat-Bulk: crystalline La2MnSbRu at its relaxed geometry (PBE).

Cell lengths 5.404, 4.906, 5.404 Å; angles 90.00, 90.00, 90.00 degrees
Element x y z (fractional)
La (0.500, 0.000, 0.000)
La (0.000, 0.000, 0.500)
Mn (0.000, 0.500, 0.000)
Sb (0.500, 0.500, 0.500)
Ru (0.000, 0.000, 0.000)

Values from the calculation:
**Space-group type**: P4/mmm, No. 123
**Calculated density**: 6.44 g/cm³
**Formation energy (no corrections)**: -239 meV/atom
**Magnetic moment**: 4.718 μB/cell

Entry from Alexandria via LeMat-Bulk: crystalline ZnCuP at its relaxed geometry (PBE).

Cell lengths 6.914, 4.252, 6.976 Å; angles 90.00, 110.64, 90.00 degrees
Element x y z (fractional)
Cu (0.910, 0.793, 0.636)
Cu (0.090, 0.793, 0.364)
Cu (0.910, 0.293, 0.136)
Cu (0.090, 0.293, 0.864)
P (0.257, 0.928, 0.725)
P (0.743, 0.428, 0.775)
P (0.257, 0.428, 0.225)
P (0.743, 0.928, 0.275)
Zn (0.645, 0.901, 0.895)
Zn (0.645, 0.401, 0.395)
Zn (0.355, 0.401, 0.605)
Zn (0.355, 0.901, 0.105)

Values from the calculation:
**Space-group type**: C2, No. 5
**ΔH_f (0 K)**: -78 meV per atom
**Calculated density**: 5.54 g/cm³
**Magnetic moment**: 0.000 μB/cell

Entry from Alexandria via LeMat-Bulk: crystalline AcHfGa at its relaxed geometry (PBE).

Cell lengths 5.188, 3.666, 11.995 Å; angles 90.00, 90.00, 135.03 degrees
Element x y z (fractional)
Ga (0.694, 0.389, 0.000)
Ga (0.195, 0.389, 0.500)
Hf (0.194, 0.389, 0.884)
Hf (0.194, 0.389, 0.116)
Ac (0.694, 0.389, 0.683)
Ac (0.694, 0.389, 0.317)

Values from the calculation:
**Space-group type**: P4/mmm, No. 123
**ΔH_f (0 K)**: -54 meV per atom
**Calculated density**: 9.79 g/cm³
**Magnetic moment**: 0.002 μB/cell

Entry from Alexandria via LeMat-Bulk: crystalline EuTh2Tl at its relaxed geometry (PBE).

Cell lengths 3.454, 3.454, 12.774 Å; angles 82.23, 82.23, 60.00 degrees
Element x y z (fractional)
Th (0.908, 0.908, 0.275)
Th (0.092, 0.092, 0.725)
Eu (0.000, 0.000, 0.000)
Tl (0.500, 0.500, 0.500)

Values from the calculation:
**Space-group type**: R-3m, No. 166
**ΔH_f (0 K)**: 185 meV per atom
**Calculated density**: 10.45 g/cm³
**Magnetic moment**: 7.478 μB/cell

Entry from Alexandria via LeMat-Bulk: crystalline Tb2IrCl at its relaxed geometry (PBE).

Cell lengths 4.031, 4.031, 7.721 Å; angles 74.87, 74.87, 60.00 degrees
Element x y z (fractional)
Tb (0.267, 0.267, 0.200)
Tb (0.733, 0.733, 0.800)
Cl (0.500, 0.500, 0.500)
Ir (0.000, 0.000, 0.000)

Values from the calculation:
**Space-group type**: R-3m, No. 166
**Calculated density**: 8.74 g/cm³
**Formation energy (no corrections)**: -1218 meV/atom
**Magnetic moment**: 0.000 μB/cell